PBE-GGA Na2TaNi, relaxed; space group = No. 122; energy relative to the lowest polymorph listed for this composition = 0.0 kJ per mole of atoms; E_tot = -3.85 eV per atom; DFT formation energy = 1221 meV/atom
1.0
8.3299 0.0000 0.0000
0.0000 8.3299 0.0000
4.1650 4.1650 2.4572
Ni Na Ta
2 4 2
Direct
0.5000 0.5000 0.0000
0.2500 0.7500 0.5000
0.5694 0.1250 0.2500
0.1806 0.6250 0.2500
0.3750 0.4306 0.7500
0.8750 0.8194 0.7500
0.0000 0.0000 0.0000
0.7500 0.2500 0.5000



PBE-GGA Na2TaNi, relaxed; space group = No. 225; energy relative to the lowest polymorph listed for this composition = 28.3 kJ per mole of atoms; E_tot = -3.55 eV per atom; DFT formation energy = 1514 meV/atom
1.0
-2.6901 -3.4136 -1.8544
-2.6521 -2.7115 2.8182
-4.7035 0.4522 -0.0297
Ni Na Ta
1 2 1
Direct
0.0000 0.0000 0.0000
0.2500 0.2500 0.2500
0.7500 0.7500 0.7500
0.5000 0.5000 0.5000



PBE-GGA NaTa3Ni, relaxed; space group = No. 221; energy relative to the lowest polymorph listed for this composition = 135.5 kJ per mole of atoms; E_tot = -5.99 eV per atom; DFT formation energy = 2541 meV/atom
1.0
4.6017 0.0000 0.0000
0.0000 4.6017 0.0000
0.0000 0.0000 4.6017
Ni Na Ta
1 1 3
Direct
0.5000 0.5000 0.5000
0.0000 0.0000 0.0000
0.0000 0.5000 0.0000
0.0000 0.0000 0.5000
0.5000 0.0000 0.0000